# Ti2Mo2W7

A relaxed Ti2Mo2W7 crystal (PBE, the Alexandria database).

abc: 8.9247 8.8703 5.1537
angles: 90.00 113.10 90.00
With the nearest neighbours (Å) after each atom.
Space group C2/m (No. 12)
Inequivalent atoms, fractional coordinates:
Ti (0.0000, 0.2307, 0.0000) x4  6 W 2.69-2.86
Mo (0.2412, 0.5000, 0.9844) x4  7 W 2.63-2.80
W (0.0000, 0.0000, 0.5000) x2  4 W 2.65, 2 Mo 2.75
W (0.0895, 0.5000, 0.3301) x4  2 Mo 2.63-2.75, 3 W 2.70-2.80, 2 Ti 2.86
W (0.1673, 0.2541, 0.6656) x8  4 W 2.65-2.80, 2 Mo 2.65-2.80, 2 Ti 2.69-2.79

Summary:
N(E_F), states/eV/cell: 21.00
Magnetic moment, μB/cell: 0.00
Formation energy, eV/atom: 0.2922
Final energy, eV per atom: -11.3555
Crystal system: monoclinic

# BaCr3Au

A relaxed BaCr3Au crystal (PBE, the Alexandria database).

abc: 5.2080 5.2080 5.2080
angles: 90.00 90.00 90.00
With the nearest neighbours (Å) after each atom.
Space group Pm-3m (No. 221)
Inequivalent atoms, fractional coordinates:
Ba (0.0000, 0.0000, 0.0000) x1  12 Cr 3.68
Cr (0.0000, 0.5000, 0.5000) x3  2 Au 2.60
Au (0.5000, 0.5000, 0.5000) x1  6 Cr 2.60

Summary:
N(E_F), states/eV/cell: 3.30
Magnetic moment, μB/cell: 13.37
Formation energy, eV/atom: 0.8730
Final energy, eV per atom: -5.9411
Energy relative to the lowest polymorph listed for this composition, eV per formula unit: 0.00
Crystal system: cubic

# Ga3Bi3Pb

A relaxed Ga3Bi3Pb crystal (PBE, the Alexandria database).

abc: 7.8927 7.8927 7.8927
angles: 90.00 90.00 90.00
With the nearest neighbours (Å) after each atom.
Space group Pm-3n (No. 223)
Inequivalent atoms, fractional coordinates:
Ga (0.0000, 0.2500, 0.5000) x6  4 Bi 2.79
Bi (0.0000, 0.5000, 0.2500) x6  4 Ga 2.79
Pb (0.0000, 0.0000, 0.0000) x2  12 Bi 4.41, 12 Ga 4.41

Summary:
N(E_F), states/eV/cell: 10.77
Magnetic moment, μB/cell: 2.67
Formation energy, eV/atom: 0.3277
Final energy, eV per atom: -3.1625
Crystal system: cubic

# SrSc2Hg

A relaxed SrSc2Hg crystal (PBE, the Alexandria database).

abc: 3.5730 3.5730 31.8014
angles: 90.00 90.00 120.00
With the nearest neighbours (Å) after each atom.
Space group R-3m (No. 166, hexagonal axes)
Inequivalent atoms, fractional coordinates:
Sr (0.0000, 0.0000, 0.0000) x3  6 Sr 3.57, 6 Sc 3.74
Sc (0.0000, 0.0000, 0.2350) x6  3 Hg 3.00
Hg (0.0000, 0.0000, 0.5000) x3  6 Sc 3.00

Summary:
N(E_F), states/eV/cell: 16.18
Magnetic moment, μB/cell: 1.70
Formation energy, eV/atom: 0.0811
Final energy, eV per atom: -3.5806
Energy relative to the lowest polymorph listed for this composition, eV per formula unit: 0.79
Crystal system: trigonal

# AlV2W

A relaxed AlV2W crystal (PBE, the Alexandria database).

abc: 2.6778 4.5685 10.1421
angles: 90.00 90.00 90.00
With the nearest neighbours (Å) after each atom.
Space group Immm (No. 71)
Inequivalent atoms, fractional coordinates:
Al (0.0000, 0.0000, 0.0000) x2  2 V 2.44, 4 W 2.65, 2 Al 2.68
V (0.0000, 0.0000, 0.2404) x4  1 Al 2.44, 1 W 2.63, 6 V 2.65-2.68
W (0.0000, 0.0000, 0.5000) x2  2 V 2.63, 4 Al 2.65, 2 W 2.68

Summary:
N(E_F), states/eV/cell: 9.87
Magnetic moment, μB/cell: 0.00
Formation energy, eV/atom: 0.5760
Final energy, eV per atom: -8.1572
Crystal system: orthorhombic

# Sm6Sn2Pd

A relaxed Sm6Sn2Pd crystal (PBE, the Alexandria database).

abc: 8.4163 8.4163 4.2988
angles: 90.00 90.00 120.00
With the nearest neighbours (Å) after each atom.
Space group P-62m (No. 189)
Inequivalent atoms, fractional coordinates:
Sm (0.0000, 0.4095, 0.0000) x3  4 Sn 3.33, 1 Pd 3.45, 6 Sm 3.60-3.70
Sm (0.0000, 0.7531, 0.5000) x3  2 Pd 2.99, 2 Sn 3.23
Sn (0.3333, 0.6667, 0.5000) x2  9 Sm 3.23-3.33
Pd (0.0000, 0.0000, 0.0000) x1  6 Sm 2.99

Summary:
N(E_F), states/eV/cell: 11.80
Magnetic moment, μB/cell: 0.00
Formation energy, eV/atom: -0.5555
Final energy, eV per atom: -5.1681
Crystal system: hexagonal